Record 1
DFT (SCAN) results for a crystal of InAg2P relaxed with PBEsol.

Output
Spin magnetization (μB per atom): 0.000
SG: No. 47
E_tot (eV per formula unit): -105.5
ΔH_f (0 K) (eV/atom): 0.257

Cell lengths 2.9146, 4.3267, 5.7930 Å; angles 90.00, 90.00, 90.00 degrees
With the nearest neighbours (Å) after each atom.
Atoms (fractional coordinates):
In 0.0000 0.0000 0.0000  2 In 2.91, 8 Ag 2.98, 4 P 3.24
Ag 0.5000 0.5000 0.2485  2 P 2.61, 4 Ag 2.88-2.91
Ag 0.5000 0.5000 0.7515  2 P 2.61, 4 Ag 2.88-2.91
P 0.5000 0.0000 0.5000  4 Ag 2.61, 2 P 2.91

***

Record 2
DFT (SCAN) results for a crystal of Y2TlP relaxed with PBEsol.

Output
Spin magnetization (μB per atom): 0.000
SG: No. 166
E above lowest polymorph (kJ per mole of atoms): 0.0
E_tot (eV per formula unit): -143.3
ΔH_f (0 K) (eV/atom): -1.206

Cell lengths 3.8604, 3.8604, 23.4461 Å; angles 90.00, 90.00, 120.00 degrees
With the nearest neighbours (Å) after each atom.
Atoms (fractional coordinates):
Y 0.0000 0.0000 0.2343  3 P 2.74
Y 0.0000 0.0000 0.7657  3 P 2.74
Y 0.3333 0.6667 0.4324  3 P 2.74
Y 0.3333 0.6667 0.9010  3 P 2.74
Y 0.6667 0.3333 0.0990  3 P 2.74
Y 0.6667 0.3333 0.5676  3 P 2.74
Tl 0.0000 0.0000 0.0000  6 Y 3.22
Tl 0.3333 0.6667 0.6667  6 Y 3.22
Tl 0.6667 0.3333 0.3333  6 Y 3.22
P 0.0000 0.0000 0.5000  6 Y 2.74
P 0.3333 0.6667 0.1667  6 Y 2.74
P 0.6667 0.3333 0.8333  6 Y 2.74

***

Record 3
DFT (SCAN) results for a crystal of Hf2TlMoW relaxed with PBEsol.

Output
Spin magnetization (μB per atom): 0.778
SG: No. 123
E_tot (eV per formula unit): -295.1
ΔH_f (0 K) (eV/atom): 1.426

Cell lengths 4.9110, 4.9110, 5.1942 Å; angles 90.00, 90.00, 90.00 degrees
With the nearest neighbours (Å) after each atom.
Atoms (fractional coordinates):
Hf 0.0000 0.5000 0.0000  2 W 2.46
Hf 0.5000 0.0000 0.0000  2 W 2.46
Tl 0.0000 0.0000 0.5000  2 W 2.60
Mo 0.5000 0.5000 0.5000  4 Tl 3.47, 8 Hf 3.57
W 0.0000 0.0000 0.0000  4 Hf 2.46, 2 Tl 2.60